Record 1
A plane-wave DFT calculation with PBE-GGA was carried out for a relaxed Ca2HoCuSe4 crystal.

```
Ca2HoCuSe4
1.0
-2.3266 3.3460 -0.4311
-4.3198 -2.3442 5.1185
5.2123 3.9816 2.7738
Se Ca Cu Ho
4 2 1 1
direct
0.0000 0.7439 0.2434 Se
0.5000 0.7654 0.7754 Se
0.5000 0.2346 0.2246 Se
0.0000 0.2561 0.7566 Se
0.5000 0.0000 0.5000 Ca
0.0000 0.5000 0.5000 Ca
0.0000 0.0000 0.0000 Cu
0.5000 0.5000 0.0000 Ho
```

## Properties
The space group is No. 10. The calculation puts the energy relative to the elements, uncorrected at -1.505 eV/atom. Its total DFT energy (no corrections) is -4.83 eV/atom. The value obtained for the volume is 24.3 Å³/atom.

---

Record 2
A plane-wave DFT calculation with PBE-GGA was carried out for a relaxed CaHoCuSi crystal.

```
CaHoCuSi
1.0
4.9579 0.0000 0.0000
2.4789 4.2936 0.0000
2.4789 1.4312 4.0481
Cu Ho Si Ca
1 1 1 1
direct
0.2500 0.2500 0.2500 Cu
0.0000 0.0000 0.0000 Ho
0.7500 0.7500 0.7500 Si
0.5000 0.5000 0.5000 Ca
```

## Properties
The space group is No. 216. The calculation puts the energy relative to the elements, uncorrected at -0.358 eV/atom. Its total DFT energy (no corrections) is -4.38 eV/atom. The value obtained for the volume is 21.5 Å³/atom.

---

Record 3
A plane-wave DFT calculation with PBE-GGA was carried out for a relaxed CaHoCu2Sn2 crystal.

```
CaHoCu2Sn2
1.0
4.5692 0.0000 0.0000
-2.2846 3.9570 0.0000
0.0000 0.0000 7.5293
Sn Ho Ca Cu
2 1 1 2
direct
0.3333 0.6667 0.2698 Sn
0.6667 0.3333 0.7302 Sn
0.0000 0.0000 0.5000 Ho
0.0000 0.0000 0.0000 Ca
0.3333 0.6667 0.7040 Cu
0.6667 0.3333 0.2960 Cu
```

## Properties
As for the formation energy: -3.0 eV/f.u. The space group is No. 164. Its total DFT energy (no corrections) is -4.30 eV/atom. The value obtained for the volume is 22.7 Å³/atom.

---

Record 4
A plane-wave DFT calculation with PBE-GGA was carried out for a relaxed CaHoCuSn crystal.

```
CaHoCuSn
1.0
-0.8526 4.6218 -2.1763
-0.6684 0.3664 -5.1229
-4.6719 1.1325 -1.9276
Ca Cu Sn Ho
1 1 1 1
direct
0.0000 0.0000 0.0000 Ca
0.7500 0.7500 0.7500 Cu
0.2500 0.2500 0.2500 Sn
0.5000 0.5000 0.5000 Ho
```

## Properties
As for the formation energy: -1.7 eV/f.u. The space group is No. 216. Its total DFT energy (no corrections) is -4.09 eV/atom. The value obtained for the volume is 24.6 Å³/atom.

---

Record 5
A plane-wave DFT calculation with PBE-GGA was carried out for a relaxed Ca3Ho3CuTe8 crystal.

```
Ca3Ho3CuTe8
1.0
8.7386 0.0000 0.0000
-4.3693 7.5627 -0.0273
0.0000 -5.0167 7.3093
Cu Te Ca Ho
1 8 3 3
direct
0.0000 0.0000 0.5000 Cu
0.2381 0.4761 0.7295 Te
0.7523 0.9914 0.7306 Te
0.2524 0.5048 0.2573 Te
0.7476 0.4952 0.7427 Te
0.2392 0.9914 0.7306 Te
0.7608 0.0086 0.2694 Te
0.2477 0.0086 0.2694 Te
0.7619 0.5239 0.2705 Te
0.0000 0.0000 0.0000 Ca
0.0000 0.5000 0.0000 Ca
0.5000 0.5000 0.0000 Ca
0.5000 0.5000 0.5000 Ho
0.0000 0.5000 0.5000 Ho
0.5000 0.0000 0.5000 Ho
```

## Properties
The space group is No. 12. The calculation puts the energy relative to the elements, uncorrected at -1.236 eV/atom. Its total DFT energy (no corrections) is -4.50 eV/atom. The value obtained for the volume is 32.1 Å³/atom.

---

Record 6
A plane-wave DFT calculation with PBE-GGA was carried out for a relaxed CaHoCuTe3 crystal.

```
CaHoCuTe3
1.0
4.2415 0.0000 0.0000
0.0000 8.5796 0.0443
0.0000 -2.2298 9.7296
Te Cu Ho Ca
6 2 2 2
direct
0.2500 0.0777 0.8505 Te
0.7500 0.9223 0.1495 Te
0.2500 0.5852 0.8462 Te
0.7500 0.4148 0.1538 Te
0.7500 0.2448 0.5206 Te
0.2500 0.7552 0.4794 Te
0.7500 0.9254 0.4192 Cu
0.2500 0.0746 0.5808 Cu
0.7500 0.3237 0.8306 Ho
0.2500 0.6763 0.1694 Ho
0.7500 0.8067 0.7262 Ca
0.2500 0.1933 0.2738 Ca
```

## Properties
The space group is No. 11. The calculation puts the energy relative to the elements, uncorrected at -1.140 eV/atom. Its total DFT energy (no corrections) is -4.49 eV/atom. The value obtained for the volume is 29.5 Å³/atom.